# 1
A plane-wave DFT calculation with PBE was carried out for a relaxed BaAg2P2 crystal.

- E: -20.537 eV/f.u.
- Crystal system: tetragonal

a = 4.525 Å, b = 4.525 Å, c = 10.684 Å
α = 90.00°, β = 90.00°, γ = 90.00°
Space group I4/mmm (No. 139)
Unique sites:
Ba1 0.000 0.000 0.000
Ag1 0.000 0.500 0.250
P1 0.000 0.000 0.391

# 2
A plane-wave DFT calculation with PBE was carried out for a relaxed ScZn2Ir crystal.

- Total magnetization: 0.0 Bohr magnetons per cell
- Crystal system: cubic
- ΔH_f (0 K): -0.4378 eV/atom

a = 6.318 Å, b = 6.318 Å, c = 6.318 Å
α = 90.00°, β = 90.00°, γ = 90.00°
Space group F-43m (No. 216)
Unique sites:
Sc1 0.000 0.000 0.000
Zn1 0.000 0.000 0.500
Zn2 0.250 0.250 0.750
Ir1 0.250 0.250 0.250